1.
DFT (PBE-GGA) results for Te2ClO5 after structural relaxation.

Unit cell a=3.7645 b=6.6393 c=6.6393 alpha=45.62 beta=73.53 gamma=73.53
Sites, in units of the cell vectors:
Te 0.8133 0.6867 0.6867
Te 0.1867 0.3133 0.3133
Cl 0.0000 0.0000 0.0000
O 0.0000 0.5000 0.5000
O 0.6835 0.5531 0.0800
O 0.3165 0.4469 0.9200
O 0.3165 0.9200 0.4469
O 0.6835 0.0800 0.5531

The energy is -4.49 eV/atom.


2.
DFT (PBE-GGA) results for Te4ClO4 after structural relaxation.

Unit cell a=4.9387 b=8.3400 c=8.3400 alpha=90.00 beta=90.00 gamma=90.00
Sites, in units of the cell vectors:
Te 0.5861 0.9540 0.2528
Te 0.5861 0.0460 0.7472
Te 0.0861 0.7528 0.5460
Te 0.9139 0.4540 0.7528
Te 0.9139 0.5460 0.2472
Te 0.4139 0.2528 0.0460
Te 0.4139 0.7472 0.9540
Te 0.0861 0.2472 0.4540
Cl 0.0000 0.0000 0.0000
Cl 0.5000 0.5000 0.5000
O 0.2648 0.4174 0.8533
O 0.7648 0.6467 0.9174
O 0.2648 0.5826 0.1467
O 0.2352 0.0826 0.6467
O 0.7352 0.8533 0.5826
O 0.2352 0.9174 0.3533
O 0.7648 0.3533 0.0826
O 0.7352 0.1467 0.4174

The energy is -4.27 eV/atom.


3.
DFT (PBE-GGA) results for TeClO2 after structural relaxation.

Unit cell a=7.3928 b=7.3928 c=7.3928 alpha=26.27 beta=26.27 gamma=26.27
Sites, in units of the cell vectors:
Te 0.0000 0.0000 0.0000
O 0.9094 0.9094 0.9094
O 0.0906 0.0906 0.0906
Cl 0.5000 0.5000 0.5000

The energy relative to the lowest polymorph listed for this composition comes out at 1262.6 meV per atom. The energy is -3.20 eV/atom.


4.
DFT (PBE-GGA) results for Te4Cl3O2 after structural relaxation.

Unit cell a=6.9456 b=9.1545 c=9.1545 alpha=76.16 beta=105.12 gamma=105.12
Sites, in units of the cell vectors:
Te 0.4534 0.9872 0.2515
Te 0.0466 0.7485 0.0128
Te 0.5466 0.0128 0.7485
Te 0.9534 0.2515 0.9872
Te 0.0765 0.3574 0.2703
Te 0.4235 0.7297 0.6426
Te 0.9235 0.6426 0.7297
Te 0.5765 0.2703 0.3574
Cl 0.9755 0.0309 0.2357
Cl 0.5245 0.7643 0.9691
Cl 0.0245 0.9691 0.7643
Cl 0.4755 0.2357 0.0309
Cl 0.2500 0.4395 0.5605
Cl 0.7500 0.5605 0.4395
O 0.5905 0.1971 0.5767
O 0.9095 0.4233 0.8029
O 0.4095 0.8029 0.4233
O 0.0905 0.5767 0.1971

The energy is -3.50 eV/atom.


5.
DFT (PBE-GGA) results for Te2ClO3 after structural relaxation.

Unit cell a=4.0557 b=11.0668 c=9.0666 alpha=144.32 beta=90.00 gamma=100.56
Sites, in units of the cell vectors:
Te 0.5025 0.0049 0.8408
Te 0.4975 0.9951 0.1592
Te 0.7858 0.5715 0.3128
Te 0.2142 0.4285 0.6872
Cl 0.8690 0.7380 0.1314
Cl 0.1310 0.2620 0.8686
O 0.3155 0.6311 0.7349
O 0.9371 0.8741 0.7313
O 0.6608 0.3216 0.5411
O 0.3392 0.6784 0.4589
O 0.0629 0.1259 0.2687
O 0.6845 0.3689 0.2651

The energy is -4.60 eV/atom.


6.
DFT (PBE-GGA) results for Te2ClO after structural relaxation.

Unit cell a=4.8143 b=4.8143 c=4.8143 alpha=60.00 beta=60.00 gamma=60.00
Sites, in units of the cell vectors:
Te 0.2500 0.2500 0.2500
Te 0.7500 0.7500 0.7500
O 0.0000 0.0000 0.0000
Cl 0.5000 0.5000 0.5000

The energy relative to the lowest polymorph listed for this composition comes out at 772.2 meV per atom. The energy is -2.71 eV/atom.


Number 1: ΔE_f (raw) -0.3753 eV per atom. Number 2: ΔE_f (raw) -0.4623 eV per atom. Number 3: ΔE_f (raw) 0.5293 eV per atom. Number 4: ΔE_f (raw) -0.3820 eV per atom. Number 5: ΔE_f (raw) -0.7705 eV per atom. Number 6: ΔE_f (raw) 0.5608 eV per atom.